No. 1
Entry from Alexandria: a geometry-optimized SiNiOs3 structure (PBE-GGA).

As for the final energy: -34.81 eV per cell. The uncorrected formation energy comes out at 10.1 eV/f.u. As for the distance to the lowest polymorph of the same formula: 0.584 eV per atom.

It has space group Pm-3m (No. 221), with a = 4.409 Å, b = 4.409 Å, c = 4.409 Å, α = 90.00°, β = 90.00° and γ = 90.00°. Symmetry generates all atoms from Si at (0.000, 0.000, 0.000), Ni at (0.500, 0.500, 0.500) and Os at (0.000, 0.500, 0.500).


No. 2
Entry from Alexandria: a geometry-optimized Ac3As5H12 structure (PBE-GGA).

As for the final energy: -580.59 eV per cell.

It has space group Ia-3d (No. 230), with a = 12.982 Å, b = 12.982 Å, c = 12.982 Å, α = 90.00°, β = 90.00° and γ = 90.00°. Symmetry generates all atoms from Ac at (0.000, 0.250, 0.125), As at (0.000, 0.000, 0.000), As at (0.000, 0.250, 0.375) and H at (0.032, 0.050, 0.629).


No. 3
Entry from Alexandria: a geometry-optimized TbNiGe structure (PBE-GGA).

As for the final energy: -66.99 eV per cell. The value obtained for the energy of formation is -55.28 kJ/mol of atoms.

It has space group F-43m (No. 216), with a = 6.187 Å, b = 6.187 Å, c = 6.187 Å, α = 90.00°, β = 90.00° and γ = 90.00°. Symmetry generates all atoms from Tb at (0.000, 0.000, 0.000), Ni at (0.250, 0.250, 0.250) and Ge at (0.000, 0.000, 0.500).


No. 4
Entry from Alexandria: a geometry-optimized AcPa3Cu4S12 structure (PBE-GGA).

As for the final energy: -357.36 eV per cell. The uncorrected formation energy comes out at -20.6 eV/f.u.

It has space group R32 (No. 155, hexagonal axes), with a = 13.4418 Å, b = 13.4418 Å, c = 9.9971 Å, α = 90.00°, β = 90.00° and γ = 120.00°. Symmetry generates all atoms from Ac at (0.0000, 0.0000, 0.0000), Pa at (0.0000, 0.5578, 0.0000), Cu at (0.0000, 0.0000, 0.5000), Cu at (0.0000, 0.4262, 0.5000), S at (0.0000, 0.5950, 0.5000), S at (0.0000, 0.8388, 0.5000) and S at (0.0463, 0.2004, 0.1832).